(1)
PBE SrAl2Cl, relaxed; crystal system = orthorhombic; E_tot = -11.94 eV per cell; formation energy without anion corrections = -0.232 eV/atom; energy above the lowest structure with this stoichiometry = 401.7 meV per atom
1.0
2.770 -5.692 0.000
2.770 5.692 0.000
0.000 0.000 3.596
Sr Al Cl
1 2 1
Direct
0.000 0.000 0.000
0.000 0.500 0.500
0.500 0.000 0.500
0.500 0.500 0.000


(2)
PBE Sr2AlCl, relaxed; crystal system = cubic; E_tot = -9.32 eV per cell; formation energy without anion corrections = -0.092 eV/atom; energy above the lowest structure with this stoichiometry = 837.2 meV per atom
1.0
0.000 4.052 4.052
4.052 0.000 4.052
4.052 4.052 0.000
Sr Al Cl
2 1 1
Direct
0.000 0.000 0.000
0.250 0.250 0.250
0.500 0.500 0.500
0.750 0.750 0.750


(3)
PBE SrAlCl6, relaxed; crystal system = triclinic; E_tot = -28.69 eV per cell; formation energy without anion corrections = -1.524 eV/atom
1.0
6.592 0.000 0.000
3.291 5.712 0.000
3.282 1.893 5.834
Sr Al Cl
1 1 6
Direct
0.000 0.000 0.000
0.500 0.500 0.500
0.121 0.454 0.728
0.301 0.880 0.274
0.455 0.697 0.729
0.545 0.303 0.271
0.699 0.120 0.726
0.879 0.546 0.272


(4)
PBE SrAlCl, relaxed; crystal system = cubic; E_tot = -8.00 eV per cell; formation energy without anion corrections = -0.242 eV/atom; energy above the lowest structure with this stoichiometry = 436.9 meV per atom
1.0
0.000 3.788 3.788
3.788 0.000 3.788
3.788 3.788 0.000
Sr Al Cl
1 1 1
Direct
0.000 0.000 0.000
0.750 0.750 0.750
0.250 0.250 0.250


(5)
PBE SrAlCl, relaxed; crystal system = trigonal; E_tot = -9.17 eV per cell; formation energy without anion corrections = -0.634 eV/atom; energy above the lowest structure with this stoichiometry = 45.1 meV per atom
1.0
3.973 0.000 0.000
-1.987 3.441 0.000
0.000 0.000 8.291
Sr Al Cl
1 1 1
Direct
0.000 0.000 0.000
0.667 0.333 0.301
0.333 0.667 0.795


(6)
PBE SrTiAl2Cl, relaxed; crystal system = tetragonal; E_tot = -17.39 eV per cell; formation energy without anion corrections = 0.305 eV/atom
1.0
5.032 0.000 0.000
0.000 5.032 0.000
0.000 0.000 6.720
Sr Ti Al Cl
1 1 2 1
Direct
0.000 0.000 0.000
0.000 0.000 0.500
0.000 0.500 0.500
0.500 0.000 0.500
0.500 0.500 0.000


(7)
PBE SrAl2TlCl8, relaxed; crystal system = trigonal; E_tot = -44.43 eV per cell; formation energy without anion corrections = -1.511 eV/atom
1.0
6.885 0.000 0.000
-3.443 5.963 0.000
0.000 0.000 9.568
Sr Al Tl Cl
1 2 1 8
Direct
0.000 0.000 0.000
0.333 0.667 0.243
0.667 0.333 0.757
0.000 0.000 0.500
0.023 0.386 0.163
0.333 0.667 0.465
0.363 0.977 0.163
0.386 0.363 0.837
0.614 0.637 0.163
0.637 0.023 0.837
0.667 0.333 0.535
0.977 0.614 0.837


(8)
PBE Ta4AlCl, relaxed; crystal system = cubic; E_tot = -48.66 eV per cell; formation energy without anion corrections = 0.724 eV/atom
1.0
0.000 3.917 3.917
3.917 0.000 3.917
3.917 3.917 0.000
Ta Al Cl
4 1 1
Direct
0.124 0.124 0.124
0.124 0.124 0.629
0.124 0.629 0.124
0.629 0.124 0.124
0.750 0.750 0.750
0.500 0.500 0.500


(9)
PBE Ta2AlCl, relaxed; crystal system = tetragonal; E_tot = -29.49 eV per cell; formation energy without anion corrections = -0.050 eV/atom; energy above the lowest structure with this stoichiometry = 28.5 meV per atom
1.0
2.921 0.000 0.000
0.000 2.921 0.000
0.000 0.000 9.626
Ta Al Cl
2 1 1
Direct
0.000 0.000 0.000
0.500 0.500 0.232
0.000 0.000 0.434
0.500 0.500 0.818


(10)
PBE Ta2AlCl, relaxed; crystal system = orthorhombic; E_tot = -28.50 eV per cell; formation energy without anion corrections = 0.199 eV/atom; energy above the lowest structure with this stoichiometry = 277.0 meV per atom
1.0
-1.449 2.664 4.578
1.449 -2.664 4.578
1.449 2.664 -4.578
Ta Al Cl
2 1 1
Direct
0.227 0.227 0.000
0.773 0.773 0.000
0.500 0.000 0.500
0.000 0.500 0.500


(11)
PBE TaAlCl2, relaxed; crystal system = trigonal; E_tot = -22.42 eV per cell; formation energy without anion corrections = -0.784 eV/atom; energy above the lowest structure with this stoichiometry = 0.0 meV per atom
1.0
1.576 0.910 9.502
-1.576 0.910 9.502
0.000 -1.820 9.502
Ta Al Cl
1 1 2
Direct
0.000 0.000 0.000
0.258 0.258 0.258
0.532 0.532 0.532
0.728 0.728 0.728


(12)
PBE Ta2AlCl, relaxed; crystal system = monoclinic; E_tot = -28.83 eV per cell; formation energy without anion corrections = 0.117 eV/atom; energy above the lowest structure with this stoichiometry = 195.2 meV per atom
1.0
2.921 0.000 0.000
0.000 4.652 0.000
-0.912 0.000 5.115
Ta Al Cl
2 1 1
Direct
0.000 0.000 0.000
0.258 0.500 0.689
0.599 0.500 0.197
0.196 0.000 0.510